(1)
# SiIrN (GGA-PBE, relaxed)
data_SiIrN
_cell_length_a 5.7510
_cell_length_b 6.8813
_cell_length_c 4.6298
_cell_angle_alpha 90.00
_cell_angle_beta 124.17
_cell_angle_gamma 90.00
_space_group_name_H-M_alt 'C 1 c 1'
_space_group_IT_number 9
_space_group_name_Hall 'C -2yc'
loop_
_atom_site_label
_atom_site_type_symbol
_atom_site_fract_x
_atom_site_fract_y
_atom_site_fract_z
Si1 Si 0.0000 0.1015 0.0000
Ir1 Ir 0.0667 0.3462 0.4152
N1 N 0.1493 0.1130 0.7569
# uncorrected formation energy: -0.12 eV per atom
# energy: -7.66 eV/atom

(2)
# LaZr2Cl (GGA-PBE, relaxed)
data_LaZr2Cl
_cell_length_a 3.4348
_cell_length_b 4.8166
_cell_length_c 6.2278
_cell_angle_alpha 90.00
_cell_angle_beta 103.76
_cell_angle_gamma 90.00
_space_group_name_H-M_alt 'P 1 m 1'
_space_group_IT_number 6
_space_group_name_Hall 'P -2y'
loop_
_atom_site_label
_atom_site_type_symbol
_atom_site_fract_x
_atom_site_fract_y
_atom_site_fract_z
La1 La 0.0000 0.0000 0.0000
Zr1 Zr 0.2994 0.0000 0.5067
Zr2 Zr 0.7805 0.5000 0.4837
Cl1 Cl 0.4428 0.5000 0.8593
# uncorrected formation energy: -0.27 eV per atom
# energy: -6.24 eV/atom

| no. | energy relative to the lowest polymorph listed for this composition (eV per atom) |
| --- | --- |
| 1 | 0.350 |
| 2 | 0.117 |